1.
# LiAc2Ge3Pd12, relaxed, DFT PBE-GGA
data_LiAc2Ge3Pd12
_chemical_formula_sum 'Li3 Ac6 Ge9 Pd36'
_cell_length_a 9.3108
_cell_length_b 9.3108
_cell_length_c 13.3631
_cell_angle_alpha 90.00
_cell_angle_beta 90.00
_cell_angle_gamma 120.00
_symmetry_space_group_name_H-M 'R -3 m'
_symmetry_Int_Tables_number 166
_symmetry_space_group_name_Hall '-R 3 2"'
loop_
_atom_site_label
_atom_site_type_symbol
_atom_site_fract_x
_atom_site_fract_y
_atom_site_fract_z
Li1 Li 0.0000 0.0000 0.0000
Ac1 Ac 0.0000 0.0000 0.3555
Ge1 Ge 0.0000 0.5000 0.5000
Pd1 Pd 0.0096 0.5048 0.6852
Pd2 Pd 0.0218 0.5109 0.8869
# formation enthalpy at 0 K: -0.4322 eV/atom

***

2.
# LiAcGePd6, relaxed, DFT PBE-GGA
data_LiAcGePd6
_chemical_formula_sum 'Li4 Ac4 Ge4 Pd24'
_cell_length_a 6.558
_cell_length_b 9.590
_cell_length_c 11.358
_cell_angle_alpha 90.00
_cell_angle_beta 90.00
_cell_angle_gamma 90.00
_symmetry_space_group_name_H-M 'I m m a'
_symmetry_Int_Tables_number 74
_symmetry_space_group_name_Hall '-I 2b 2'
loop_
_atom_site_label
_atom_site_type_symbol
_atom_site_fract_x
_atom_site_fract_y
_atom_site_fract_z
Li1 Li 0.250 0.250 0.250
Ac1 Ac 0.000 0.250 0.664
Ge1 Ge 0.000 0.000 0.000
Pd1 Pd 0.000 0.250 0.417
Pd2 Pd 0.000 0.250 0.932
Pd3 Pd 0.216 0.013 0.369
# formation enthalpy at 0 K: -0.3237 eV/atom

***

3.
# LiAc2GePd6, relaxed, DFT PBE-GGA
data_LiAc2GePd6
_chemical_formula_sum 'Li1 Ac2 Ge1 Pd6'
_cell_length_a 5.643
_cell_length_b 6.674
_cell_length_c 6.786
_cell_angle_alpha 83.17
_cell_angle_beta 65.47
_cell_angle_gamma 65.05
_symmetry_space_group_name_H-M 'P -1'
_symmetry_Int_Tables_number 2
loop_
_symmetry_equiv_pos_as_xyz
'x,y,z'
'-x,-y,-z'
loop_
_atom_site_label
_atom_site_type_symbol
_atom_site_fract_x
_atom_site_fract_y
_atom_site_fract_z
Li1 Li 0.000 0.000 0.000
Ac1 Ac 0.466 0.278 0.790
Ge1 Ge 0.000 0.500 0.500
Pd1 Pd 0.014 0.742 0.742
Pd2 Pd 0.145 0.101 0.607
Pd3 Pd 0.498 0.257 0.258
# formation enthalpy at 0 K: -0.6628 eV/atom

***

4.
# LiAc3Ge2Pd6, relaxed, DFT PBE-GGA
data_LiAc3Ge2Pd6
_chemical_formula_sum 'Li1 Ac3 Ge2 Pd6'
_cell_length_a 6.0529
_cell_length_b 6.0529
_cell_length_c 8.4491
_cell_angle_alpha 90.00
_cell_angle_beta 90.00
_cell_angle_gamma 120.00
_symmetry_space_group_name_H-M 'P -3 m 1'
_symmetry_Int_Tables_number 164
_symmetry_space_group_name_Hall '-P 3 2"'
loop_
_atom_site_label
_atom_site_type_symbol
_atom_site_fract_x
_atom_site_fract_y
_atom_site_fract_z
Li1 Li 0.0000 0.0000 0.0000
Ac1 Ac 0.0000 0.0000 0.5000
Ac2 Ac 0.3333 0.6667 0.1633
Ge1 Ge 0.3333 0.6667 0.5728
Pd1 Pd 0.1734 0.3467 0.8057
# formation enthalpy at 0 K: -0.6473 eV/atom

***

5.
# Li2AcPm2Ge2, relaxed, DFT PBE-GGA
data_Li2AcPm2Ge2
_chemical_formula_sum 'Li6 Ac3 Pm6 Ge6'
_cell_length_a 4.6299
_cell_length_b 4.6299
_cell_length_c 28.4959
_cell_angle_alpha 90.00
_cell_angle_beta 90.00
_cell_angle_gamma 120.00
_symmetry_space_group_name_H-M 'R -3 m'
_symmetry_Int_Tables_number 166
_symmetry_space_group_name_Hall '-R 3 2"'
loop_
_atom_site_label
_atom_site_type_symbol
_atom_site_fract_x
_atom_site_fract_y
_atom_site_fract_z
Li1 Li 0.0000 0.0000 0.0887
Ac1 Ac 0.0000 0.0000 0.5000
Pm1 Pm 0.0000 0.0000 0.3700
Ge1 Ge 0.0000 0.0000 0.2435
# formation enthalpy at 0 K: -0.4769 eV/atom

***

6.
# LiAcPmGe, relaxed, DFT PBE-GGA
data_LiAcPmGe
_chemical_formula_sum 'Li4 Ac4 Pm4 Ge4'
_cell_length_a 7.599
_cell_length_b 7.599
_cell_length_c 7.599
_cell_angle_alpha 90.00
_cell_angle_beta 90.00
_cell_angle_gamma 90.00
_symmetry_space_group_name_H-M 'F -4 3 m'
_symmetry_Int_Tables_number 216
_symmetry_space_group_name_Hall 'F -4 2 3'
loop_
_atom_site_label
_atom_site_type_symbol
_atom_site_fract_x
_atom_site_fract_y
_atom_site_fract_z
Li1 Li 0.000 0.000 0.000
Ac1 Ac 0.250 0.250 0.750
Pm1 Pm 0.250 0.250 0.250
Ge1 Ge 0.000 0.000 0.500
# formation enthalpy at 0 K: -0.3349 eV/atom

***

7.
# LiAcPrGe, relaxed, DFT PBE-GGA
data_LiAcPrGe
_chemical_formula_sum 'Li4 Ac4 Pr4 Ge4'
_cell_length_a 7.653
_cell_length_b 7.653
_cell_length_c 7.653
_cell_angle_alpha 90.00
_cell_angle_beta 90.00
_cell_angle_gamma 90.00
_symmetry_space_group_name_H-M 'F -4 3 m'
_symmetry_Int_Tables_number 216
_symmetry_space_group_name_Hall 'F -4 2 3'
loop_
_atom_site_label
_atom_site_type_symbol
_atom_site_fract_x
_atom_site_fract_y
_atom_site_fract_z
Li1 Li 0.000 0.000 0.000
Ac1 Ac 0.250 0.250 0.250
Pr1 Pr 0.250 0.250 0.750
Ge1 Ge 0.000 0.000 0.500
# formation enthalpy at 0 K: -0.3407 eV/atom

***

8.
# Li2AcPr2Ge2, relaxed, DFT PBE-GGA
data_Li2AcPr2Ge2
_chemical_formula_sum 'Li6 Ac3 Pr6 Ge6'
_cell_length_a 4.6558
_cell_length_b 4.6558
_cell_length_c 28.8513
_cell_angle_alpha 90.00
_cell_angle_beta 90.00
_cell_angle_gamma 120.00
_symmetry_space_group_name_H-M 'R -3 m'
_symmetry_Int_Tables_number 166
_symmetry_space_group_name_Hall '-R 3 2"'
loop_
_atom_site_label
_atom_site_type_symbol
_atom_site_fract_x
_atom_site_fract_y
_atom_site_fract_z
Li1 Li 0.0000 0.0000 0.0905
Ac1 Ac 0.0000 0.0000 0.5000
Pr1 Pr 0.0000 0.0000 0.3702
Ge1 Ge 0.0000 0.0000 0.2417
# formation enthalpy at 0 K: -0.4704 eV/atom

***

9.
# LiAcGePt2, relaxed, DFT PBE-GGA
data_LiAcGePt2
_chemical_formula_sum 'Li2 Ac2 Ge2 Pt4'
_cell_length_a 4.223
_cell_length_b 4.223
_cell_length_c 11.412
_cell_angle_alpha 90.00
_cell_angle_beta 90.00
_cell_angle_gamma 90.00
_symmetry_space_group_name_H-M 'I -4 m 2'
_symmetry_Int_Tables_number 119
_symmetry_space_group_name_Hall 'I -4 -2'
loop_
_atom_site_label
_atom_site_type_symbol
_atom_site_fract_x
_atom_site_fract_y
_atom_site_fract_z
Li1 Li 0.000 0.000 0.000
Ac1 Ac 0.000 0.500 0.750
Ge1 Ge 0.000 0.000 0.500
Pt1 Pt 0.000 0.500 0.129
# formation enthalpy at 0 K: -0.9118 eV/atom

***

10.
# LiAcGePt, relaxed, DFT PBE-GGA
data_LiAcGePt
_chemical_formula_sum 'Li4 Ac4 Ge4 Pt4'
_cell_length_a 6.987
_cell_length_b 6.987
_cell_length_c 6.987
_cell_angle_alpha 90.00
_cell_angle_beta 90.00
_cell_angle_gamma 90.00
_symmetry_space_group_name_H-M 'F -4 3 m'
_symmetry_Int_Tables_number 216
_symmetry_space_group_name_Hall 'F -4 2 3'
loop_
_atom_site_label
_atom_site_type_symbol
_atom_site_fract_x
_atom_site_fract_y
_atom_site_fract_z
Li1 Li 0.000 0.000 0.000
Ac1 Ac 0.250 0.250 0.750
Ge1 Ge 0.250 0.250 0.250
Pt1 Pt 0.000 0.000 0.500
# formation enthalpy at 0 K: -0.5900 eV/atom

***

11.
# LiAcPuGe, relaxed, DFT PBE-GGA
data_LiAcPuGe
_chemical_formula_sum 'Li4 Ac4 Pu4 Ge4'
_cell_length_a 7.551
_cell_length_b 7.551
_cell_length_c 7.551
_cell_angle_alpha 90.00
_cell_angle_beta 90.00
_cell_angle_gamma 90.00
_symmetry_space_group_name_H-M 'F -4 3 m'
_symmetry_Int_Tables_number 216
_symmetry_space_group_name_Hall 'F -4 2 3'
loop_
_atom_site_label
_atom_site_type_symbol
_atom_site_fract_x
_atom_site_fract_y
_atom_site_fract_z
Li1 Li 0.000 0.000 0.000
Ac1 Ac 0.250 0.250 0.250
Pu1 Pu 0.250 0.250 0.750
Ge1 Ge 0.000 0.000 0.500
# formation enthalpy at 0 K: -0.1316 eV/atom

***

12.
# LiAc2Ge2Rh, relaxed, DFT PBE-GGA
data_LiAc2Ge2Rh
_chemical_formula_sum 'Li4 Ac8 Ge8 Rh4'
_cell_length_a 6.394
_cell_length_b 14.602
_cell_length_c 6.224
_cell_angle_alpha 90.00
_cell_angle_beta 90.00
_cell_angle_gamma 90.00
_symmetry_space_group_name_H-M 'I b a m'
_symmetry_Int_Tables_number 72
_symmetry_space_group_name_Hall '-I 2 2c'
loop_
_atom_site_label
_atom_site_type_symbol
_atom_site_fract_x
_atom_site_fract_y
_atom_site_fract_z
Li1 Li 0.000 0.000 0.250
Ac1 Ac 0.242 0.342 0.000
Ge1 Ge 0.249 0.096 0.000
Rh1 Rh 0.000 0.500 0.250
# formation enthalpy at 0 K: -0.6457 eV/atom

***

| no. | volume (Å³ per atom) |
| --- | --- |
| 1 | 18.58 |
| 2 | 19.84 |
| 3 | 21.03 |
| 4 | 22.34 |
| 5 | 25.19 |
| 6 | 27.43 |
| 7 | 28.01 |
| 8 | 25.79 |
| 9 | 20.35 |
| 10 | 21.32 |
| 11 | 26.90 |
| 12 | 24.21 |